# 1
Density functional theory data (PBE) for an optimized crystal structure of InCuP4.

abc: 5.8191 5.8191 5.8191
angles: 60.00 60.00 60.00
Positions (direct):
Cu: 0.7500 0.7500 0.7500
P: 0.4047 0.4047 0.4047
P: 0.4047 0.4047 0.7858
In: 0.0000 0.0000 0.0000
P: 0.4047 0.7858 0.4047
P: 0.7858 0.4047 0.4047

Calculated values
- energy of formation (eV/f.u.) = 3.22
- DOS(E_F) (states/eV/atom) = 0.253
- magnetic moment (μB per cell) = 0.0


# 2
Density functional theory data (PBE) for an optimized crystal structure of BaTaCo2.

abc: 4.6488 4.6488 4.6488
angles: 60.00 60.00 60.00
Site moments in Bohr magnetons follow the coordinates.
Positions (direct):
Ta: 0.7500 0.7500 0.7500  -0.27
Co: 0.2500 0.2500 0.2500  1.29
Co: 0.0000 0.0000 0.0000  1.00
Ba: 0.5000 0.5000 0.5000  -0.04

Calculated values
- energy of formation (eV/f.u.) = 4.68
- DOS(E_F) (states/eV/atom) = 1.409
- magnetic moment (μB per cell) = 1.8
- ΔE to the lowest computed polymorph (meV/atom) = 903.7


# 3
Density functional theory data (PBE) for an optimized crystal structure of CoP6Pt3.

abc: 6.9334 6.9334 3.8093
angles: 90.00 90.00 112.90
Positions (direct):
P: 0.3794 0.6206 0.5000
Pt: 0.0000 0.5000 0.5000
P: 0.1247 0.3643 0.0000
P: 0.6206 0.3794 0.5000
Pt: 0.5000 0.0000 0.5000
P: 0.6357 0.8753 0.0000
Co: 0.5000 0.5000 0.0000
P: 0.3643 0.1247 0.0000
P: 0.8753 0.6357 0.0000
Pt: 0.0000 0.0000 0.0000

Calculated values
- energy of formation (eV/f.u.) = -2.85
- DOS(E_F) (states/eV/atom) = 0.224
- magnetic moment (μB per cell) = 0.0


# 4
Density functional theory data (PBE) for an optimized crystal structure of TcSbCl2.

abc: 4.1625 4.1625 8.6786
angles: 87.28 87.28 46.15
Positions (direct):
Tc: 0.3605 0.3605 0.2798
Cl: 0.8865 0.8865 0.0806
Cl: 0.6143 0.6143 0.7065
Sb: 0.6386 0.6386 0.4330

Calculated values
- magnetic moment (μB per cell) = 0.0
- ΔE to the lowest computed polymorph (meV/atom) = 0.0


# 5
Density functional theory data (PBE) for an optimized crystal structure of Ti2SbSe.

abc: 3.6978 3.6978 6.9306
angles: 74.53 74.53 60.00
Positions (direct):
Ti: 0.0716 0.0716 0.7853
Sb: 0.4989 0.4989 0.5033
Ti: 0.2620 0.2620 0.2140
Se: 0.6675 0.6675 0.9975

Calculated values
- DOS(E_F) (states/eV/atom) = 0.902
- magnetic moment (μB per cell) = 0.0
- ΔE to the lowest computed polymorph (meV/atom) = 97.9


# 6
Density functional theory data (PBE) for an optimized crystal structure of CsK2CdO2.

abc: 4.4487 6.3546 12.1865
angles: 90.00 90.00 90.00
Positions (direct):
Cs: 0.0000 0.0000 0.5000
Cd: 0.0000 0.0000 0.0000
O: 0.5000 0.2797 0.6292
K: 0.5000 0.0670 0.2297
Cs: 0.5000 0.5000 0.0000
O: 0.0000 0.7797 0.8708
K: 0.0000 0.4330 0.7297
O: 0.5000 0.7203 0.3708
Cd: 0.5000 0.5000 0.5000
K: 0.0000 0.5670 0.2703
O: 0.0000 0.2203 0.1292
K: 0.5000 0.9330 0.7703

Calculated values
- DOS(E_F) (states/eV/atom) = 0.310
- magnetic moment (μB per cell) = 0.0
- total energy (eV per cell) = -38.524


Copy entry 5 word for word.
Density functional theory data (PBE) for an optimized crystal structure of Ti2SbSe.

abc: 3.6978 3.6978 6.9306
angles: 74.53 74.53 60.00
Positions (direct):
Ti: 0.0716 0.0716 0.7853
Sb: 0.4989 0.4989 0.5033
Ti: 0.2620 0.2620 0.2140
Se: 0.6675 0.6675 0.9975

Calculated values
- DOS(E_F) (states/eV/atom) = 0.902
- magnetic moment (μB per cell) = 0.0
- ΔE to the lowest computed polymorph (meV/atom) = 97.9